Entry 1:
Crystalline NiHW2 at its relaxed geometry. Source: Alexandria, functional PBE. Values from VASP.

- DFT total energy (eV per cell) = -32.32
- calculated volume (Å³/cell) = 50

Cell and atoms, written as Quantum ESPRESSO input:
```
&SYSTEM
  ibrav = 0, nat = 4, ntyp = 3
/
ATOMIC_SPECIES
W 183.84 W.upf
Ni 58.69 Ni.upf
H 1.01 H.upf
ATOMIC_POSITIONS angstrom
W -4.606 -2.055 1.464
W -1.773 -4.984 1.072
Ni 0.000 0.000 0.000
H -3.189 -3.519 1.268
CELL_PARAMETERS angstrom
-0.060 -2.538 -1.121
0.643 -2.215 1.545
-6.961 -2.285 2.113
```



Entry 2:
Crystalline Ni2HW at its relaxed geometry. Source: Alexandria, functional PBE. Values from VASP.

- DFT total energy (eV per cell) = -53.50
- calculated volume (Å³/cell) = 83

Cell and atoms, written as Quantum ESPRESSO input:
```
&SYSTEM
  ibrav = 0, nat = 8, ntyp = 3
/
ATOMIC_SPECIES
H 1.01 H.upf
Ni 58.69 Ni.upf
W 183.84 W.upf
ATOMIC_POSITIONS angstrom
H 2.480 4.960 1.684
H 2.480 2.480 0.000
Ni 3.720 4.633 2.525
Ni 2.153 3.720 0.842
Ni 2.807 1.240 0.842
Ni 6.200 5.286 2.525
W 4.960 2.480 1.684
W 0.000 0.000 0.000
CELL_PARAMETERS angstrom
4.960 0.000 0.000
0.000 4.960 0.000
2.480 2.480 3.367
```



Entry 3:
Crystalline NiH2W at its relaxed geometry. Source: Alexandria, functional PBE. Values from VASP.

- DFT total energy (eV per cell) = -49.42
- calculated volume (Å³/cell) = 67

Cell and atoms, written as Quantum ESPRESSO input:
```
&SYSTEM
  ibrav = 0, nat = 8, ntyp = 3
/
ATOMIC_SPECIES
Ni 58.69 Ni.upf
W 183.84 W.upf
H 1.01 H.upf
ATOMIC_POSITIONS angstrom
Ni -2.139 -1.361 1.288
Ni -1.579 -3.146 3.472
W 0.000 0.000 0.000
W -2.855 -0.656 3.983
H -2.118 -0.100 2.355
H -1.169 -2.482 2.017
H -3.819 -3.008 5.877
H -1.762 -2.016 4.663
CELL_PARAMETERS angstrom
-3.416 1.129 1.799
-0.863 -3.851 0.777
-0.155 -1.081 4.880
```



Entry 4:
Crystalline NiH2W at its relaxed geometry. Source: Alexandria, functional PBE. Values from VASP.

- DFT total energy (eV per cell) = -23.11
- calculated volume (Å³/cell) = 32

Cell and atoms, written as Quantum ESPRESSO input:
```
&SYSTEM
  ibrav = 0, nat = 4, ntyp = 3
/
ATOMIC_SPECIES
H 1.01 H.upf
W 183.84 W.upf
Ni 58.69 Ni.upf
ATOMIC_POSITIONS angstrom
H 0.547 1.144 1.786
H 1.642 3.431 5.358
W 1.095 2.287 3.572
Ni 0.000 0.000 0.000
CELL_PARAMETERS angstrom
1.599 -0.162 3.195
1.854 2.806 1.216
-1.264 1.930 2.733
```



Entry 5:
Crystalline NiH2W4 at its relaxed geometry. Source: Alexandria, functional PBE. Values from VASP.

- DFT total energy (eV per cell) = -55.85
- calculated volume (Å³/cell) = 91

Cell and atoms, written as Quantum ESPRESSO input:
```
&SYSTEM
  ibrav = 0, nat = 7, ntyp = 3
/
ATOMIC_SPECIES
W 183.84 W.upf
H 1.01 H.upf
Ni 58.69 Ni.upf
ATOMIC_POSITIONS angstrom
W 2.212 2.212 2.273
W 2.212 0.000 0.000
W 0.000 2.212 0.000
W 4.423 4.423 2.375
H 2.212 2.212 0.561
H 4.423 4.423 4.087
Ni 0.000 0.000 0.000
CELL_PARAMETERS angstrom
4.423 0.000 0.000
0.000 4.423 0.000
2.212 2.212 4.647
```



Entry 6:
Crystalline NiHW2 at its relaxed geometry. Source: Alexandria, functional PBE. Values from VASP.

- DFT total energy (eV per cell) = -32.33
- calculated volume (Å³/cell) = 49

Cell and atoms, written as Quantum ESPRESSO input:
```
&SYSTEM
  ibrav = 0, nat = 4, ntyp = 3
/
ATOMIC_SPECIES
W 183.84 W.upf
Ni 58.69 Ni.upf
H 1.01 H.upf
ATOMIC_POSITIONS angstrom
W -2.447 -0.470 0.299
W -7.340 -1.410 0.896
Ni -4.893 -0.940 0.597
H 0.000 0.000 0.000
CELL_PARAMETERS angstrom
-2.903 -2.884 -0.212
-3.110 0.023 2.668
-3.773 0.980 -1.261
```